Below is an optimized crystal structure of YLu2Be, with properties calculated at the PBE-GGA level.

abc: 3.401 3.401 8.546
angles: 90.00 90.00 90.00
Space group P4/mmm (No. 123)
Unique sites:
Y (0.000, 0.000, 0.000) (multiplicity 1)
Lu (0.500, 0.500, 0.311) (multiplicity 2)
Be (0.000, 0.000, 0.500) (multiplicity 1)

Formation enthalpy at 0 K: 0.0463 eV/atom
Energy above the most stable polymorph in this dataset: 0 meV per atom